(1)
Compound: Nd3MnAlS7
Source: Alexandria
Functional: PBE
Structure: relaxed

Values from the calculation:
The value obtained for the uncorrected formation energy is -19.6 eV/f.u.

Geometry as CIF:
```
data_Nd3MnAlS7
_chemical_formula_sum 'Nd6 Mn2 Al2 S14'
_space_group_name_H-M_alt 'P 63'
_space_group_IT_number 173
_cell_length_a 9.9868
_cell_length_b 9.9868
_cell_length_c 6.2163
_cell_angle_alpha 90.00
_cell_angle_beta 90.00
_cell_angle_gamma 120.00
loop_
_space_group_symop_operation_xyz
'x,y,z'
'x-y,x,z+1/2'
'-y,x-y,z'
'-x,-y,z+1/2'
'-x+y,-x,z'
'y,-x+y,z+1/2'
loop_
_atom_site_label
_atom_site_type_symbol
_atom_site_fract_x
_atom_site_fract_y
_atom_site_fract_z
Nd1 Nd 0.1494 0.3777 0.0000
Mn1 Mn 0.0000 0.0000 0.2995
Al1 Al 0.3333 0.6667 0.4216
S1 S 0.0965 0.5756 0.2730
S2 S 0.0976 0.2385 0.5735
S3 S 0.3333 0.6667 0.7826
```

***

(2)
Compound: NdMnAlSi2
Source: Alexandria
Functional: PBE
Structure: relaxed

Values from the calculation:
The value obtained for the uncorrected formation energy is -2.6 eV/f.u. As for the density of states at the Fermi level: 5.7 states/eV per cell.

Geometry as CIF:
```
data_NdMnAlSi2
_chemical_formula_sum 'Nd2 Mn2 Al2 Si4'
_space_group_name_H-M_alt 'I -4 m 2'
_space_group_IT_number 119
_space_group_name_Hall 'I -4 -2'
_cell_length_a 4.002
_cell_length_b 4.002
_cell_length_c 10.852
_cell_angle_alpha 90.00
_cell_angle_beta 90.00
_cell_angle_gamma 90.00
loop_
_atom_site_label
_atom_site_type_symbol
_atom_site_fract_x
_atom_site_fract_y
_atom_site_fract_z
Nd1 Nd 0.000 0.000 0.000
Mn1 Mn 0.000 0.500 0.750
Al1 Al 0.000 0.500 0.250
Si1 Si 0.000 0.000 0.387
```

***

(3)
Compound: NdTmMnAl
Source: Alexandria
Functional: PBE
Structure: relaxed

Values from the calculation:
The value obtained for the formation energy is -0.0416 eV/atom. As for the density of states at the Fermi level: 17.1 states/eV per cell.

Geometry as CIF:
```
data_NdTmMnAl
_chemical_formula_sum 'Nd4 Tm4 Mn4 Al4'
_space_group_name_H-M_alt 'F -4 3 m'
_space_group_IT_number 216
_space_group_name_Hall 'F -4 2 3'
_cell_length_a 7.251
_cell_length_b 7.251
_cell_length_c 7.251
_cell_angle_alpha 90.00
_cell_angle_beta 90.00
_cell_angle_gamma 90.00
loop_
_atom_site_label
_atom_site_type_symbol
_atom_site_fract_x
_atom_site_fract_y
_atom_site_fract_z
Nd1 Nd 0.000 0.000 0.000
Tm1 Tm 0.000 0.000 0.500
Mn1 Mn 0.250 0.250 0.750
Al1 Al 0.250 0.250 0.250
```

***

(4)
Compound: MnAl4Ni2
Source: Alexandria
Functional: PBE
Structure: relaxed

Values from the calculation:
The value obtained for the formation energy is -0.4933 eV/atom. As for the density of states at the Fermi level: 13.7 states/eV per cell.

Geometry as CIF:
```
data_MnAl4Ni2
_chemical_formula_sum 'Mn3 Al12 Ni6'
_space_group_name_H-M_alt 'R -3 m'
_space_group_IT_number 166
_space_group_name_Hall '-R 3 2"'
_cell_length_a 4.0858
_cell_length_b 4.0858
_cell_length_c 19.6941
_cell_angle_alpha 90.00
_cell_angle_beta 90.00
_cell_angle_gamma 120.00
loop_
_atom_site_label
_atom_site_type_symbol
_atom_site_fract_x
_atom_site_fract_y
_atom_site_fract_z
Mn1 Mn 0.0000 0.0000 0.0000
Al1 Al 0.0000 0.0000 0.1293
Al2 Al 0.0000 0.0000 0.3831
Ni1 Ni 0.0000 0.0000 0.2542
```

***

(5)
Compound: MnAlNi
Source: Alexandria
Functional: PBE
Structure: relaxed

Values from the calculation:
The value obtained for the formation energy is -0.2681 eV/atom. As for the density of states at the Fermi level: 8.4 states/eV per cell.

Geometry as CIF:
```
data_MnAlNi
_chemical_formula_sum 'Mn4 Al4 Ni4'
_space_group_name_H-M_alt 'P n m a'
_space_group_IT_number 62
_cell_length_a 4.733
_cell_length_b 4.209
_cell_length_c 7.695
_cell_angle_alpha 90.00
_cell_angle_beta 90.00
_cell_angle_gamma 90.00
loop_
_space_group_symop_operation_xyz
'x,y,z'
'-x,-y,-z'
'-x+1/2,-y,z+1/2'
'x+1/2,y,-z+1/2'
'x+1/2,-y+1/2,-z+1/2'
'-x+1/2,y+1/2,z+1/2'
'-x,y+1/2,-z'
'x,-y+1/2,z'
loop_
_atom_site_label
_atom_site_type_symbol
_atom_site_fract_x
_atom_site_fract_y
_atom_site_fract_z
Mn1 Mn 0.140 0.250 0.167
Al1 Al 0.194 0.250 0.842
Ni1 Ni 0.170 0.250 0.510
```

***

(6)
Compound: Mn2AlNi2
Source: Alexandria
Functional: PBE
Structure: relaxed

Values from the calculation:
The value obtained for the formation energy is -0.0771 eV/atom. As for the density of states at the Fermi level: 6.9 states/eV per cell.

Geometry as CIF:
```
data_Mn2AlNi2
_chemical_formula_sum 'Mn4 Al2 Ni4'
_space_group_name_H-M_alt 'P 4/m b m'
_space_group_IT_number 127
_space_group_name_Hall '-P 4 2ab'
_cell_length_a 6.717
_cell_length_b 6.717
_cell_length_c 2.857
_cell_angle_alpha 90.00
_cell_angle_beta 90.00
_cell_angle_gamma 90.00
loop_
_atom_site_label
_atom_site_type_symbol
_atom_site_fract_x
_atom_site_fract_y
_atom_site_fract_z
Mn1 Mn 0.165 0.335 0.000
Al1 Al 0.000 0.000 0.500
Ni1 Ni 0.131 0.631 0.500
```